# 1
DFT (GGA-PBE) results for an optimized crystal structure of ThSbRh5.

Unit cell a=4.1562 b=4.1562 c=7.3226 alpha=90.00 beta=90.00 gamma=90.00
With the nearest neighbours (Å) after each atom.
Sites, in units of the cell vectors:
Th 0.0000 0.0000 0.5000  12 Rh 2.92-2.94
Sb 0.5000 0.5000 0.0000  8 Rh 2.63
Rh 0.0000 0.5000 0.7800  2 Sb 2.63, 6 Rh 2.92-2.94, 2 Th 2.92
Rh 0.0000 0.5000 0.2200  2 Sb 2.63, 6 Rh 2.92-2.94, 2 Th 2.92
Rh 0.5000 0.0000 0.7800  2 Sb 2.63, 2 Th 2.92, 6 Rh 2.92-2.94
Rh 0.5000 0.0000 0.2200  2 Sb 2.63, 2 Th 2.92, 6 Rh 2.92-2.94
Rh 0.5000 0.5000 0.5000  8 Rh 2.92, 4 Th 2.94

## Properties
**SG**: No. 123
**Calculated total energy**: -51.76 eV per cell



# 2
DFT (GGA-PBE) results for an optimized crystal structure of Th3SbRh12.

Unit cell a=4.1038 b=4.1038 c=16.2899 alpha=90.00 beta=90.00 gamma=90.00
With the nearest neighbours (Å) after each atom.
Sites, in units of the cell vectors:
Th 0.0000 0.0000 0.2456  12 Rh 2.90-2.97
Th 0.0000 0.0000 0.5000  12 Rh 2.90-2.93
Th 0.0000 0.0000 0.7544  12 Rh 2.90-2.97
Sb 0.0000 0.0000 0.0000  12 Rh 2.77-2.90
Rh 0.5000 0.5000 0.0000  8 Rh 2.77, 4 Sb 2.90
Rh 0.5000 0.5000 0.2421  4 Th 2.90, 8 Rh 2.93-2.95
Rh 0.5000 0.5000 0.5000  4 Th 2.90, 8 Rh 2.93
Rh 0.5000 0.5000 0.7579  4 Th 2.90, 8 Rh 2.93-2.95
Rh 0.5000 0.0000 0.1139  2 Sb 2.77, 8 Rh 2.77-2.93, 2 Th 2.97
Rh 0.5000 0.0000 0.3720  8 Rh 2.90-2.95, 4 Th 2.91-2.93
Rh 0.5000 0.0000 0.6280  8 Rh 2.90-2.95, 4 Th 2.91-2.93
Rh 0.5000 0.0000 0.8861  2 Sb 2.77, 8 Rh 2.77-2.93, 2 Th 2.97
Rh 0.0000 0.5000 0.1139  2 Sb 2.77, 8 Rh 2.77-2.93, 2 Th 2.97
Rh 0.0000 0.5000 0.3720  8 Rh 2.90-2.95, 4 Th 2.91-2.93
Rh 0.0000 0.5000 0.6280  8 Rh 2.90-2.95, 4 Th 2.91-2.93
Rh 0.0000 0.5000 0.8861  2 Sb 2.77, 8 Rh 2.77-2.93, 2 Th 2.97

## Properties
**SG**: No. 123
**Calculated total energy**: -124.12 eV per cell



# 3
DFT (GGA-PBE) results for an optimized crystal structure of Th3Sb2Rh6.

Unit cell a=8.3611 b=8.3611 c=8.3611 alpha=109.47 beta=109.47 gamma=109.47
With the nearest neighbours (Å) after each atom.
Sites, in units of the cell vectors:
Th 0.7053 0.0000 0.7053  4 Rh 2.88
Th 0.2947 0.0000 0.2947  4 Rh 2.88
Th 0.0000 0.2947 0.2947  4 Rh 2.88
Th 0.0000 0.7053 0.7053  4 Rh 2.88
Th 0.2947 0.2947 0.0000  4 Rh 2.88
Th 0.7053 0.7053 0.0000  4 Rh 2.88
Sb 0.0000 0.5000 0.0000  6 Rh 2.75
Sb 0.5000 0.0000 0.0000  6 Rh 2.75
Sb 0.0000 0.0000 0.5000  6 Rh 2.75
Sb 0.5000 0.5000 0.5000  6 Rh 2.75
Rh 0.6534 0.3068 0.6534  2 Sb 2.75, 6 Rh 2.80-2.96, 2 Th 2.88
Rh 0.6534 0.0000 0.3466  2 Sb 2.75, 6 Rh 2.80-2.96, 2 Th 2.88
Rh 0.3466 0.0000 0.6534  2 Sb 2.75, 6 Rh 2.80-2.96, 2 Th 2.88
Rh 0.3466 0.6932 0.3466  2 Sb 2.75, 6 Rh 2.80-2.96, 2 Th 2.88
Rh 0.0000 0.6534 0.3466  2 Sb 2.75, 6 Rh 2.80-2.96, 2 Th 2.88
Rh 0.6932 0.3466 0.3466  2 Sb 2.75, 6 Rh 2.80-2.96, 2 Th 2.88
Rh 0.3068 0.6534 0.6534  2 Sb 2.75, 6 Rh 2.80-2.96, 2 Th 2.88
Rh 0.0000 0.3466 0.6534  2 Sb 2.75, 6 Rh 2.80-2.96, 2 Th 2.88
Rh 0.3466 0.6534 0.0000  2 Sb 2.75, 6 Rh 2.80-2.96, 2 Th 2.88
Rh 0.6534 0.6534 0.3068  2 Sb 2.75, 6 Rh 2.80-2.96, 2 Th 2.88
Rh 0.3466 0.3466 0.6932  2 Sb 2.75, 6 Rh 2.80-2.96, 2 Th 2.88
Rh 0.6534 0.3466 0.0000  2 Sb 2.75, 6 Rh 2.80-2.96, 2 Th 2.88

## Properties
**SG**: No. 229
**Calculated total energy**: -167.40 eV per cell



# 4
DFT (GGA-PBE) results for an optimized crystal structure of Th2SbRh.

Unit cell a=4.1968 b=6.3133 c=8.8298 alpha=112.45 beta=90.00 gamma=90.00
With the nearest neighbours (Å) after each atom.
Sites, in units of the cell vectors:
Th 0.7500 0.2112 0.4479  3 Rh 2.92-3.07
Th 0.2500 0.7888 0.5521  3 Rh 2.92-3.07
Th 0.2500 0.7738 0.1019  2 Rh 2.94, 4 Sb 3.24-3.28
Th 0.7500 0.2262 0.8981  2 Rh 2.94, 4 Sb 3.24-3.28
Sb 0.2500 0.3226 0.1995  2 Rh 2.98, 6 Th 3.24-3.30
Sb 0.7500 0.6774 0.8005  2 Rh 2.98, 6 Th 3.24-3.30
Rh 0.7500 0.6846 0.3038  5 Th 2.92-3.07, 2 Sb 2.98
Rh 0.2500 0.3154 0.6962  5 Th 2.92-3.07, 2 Sb 2.98

## Properties
**SG**: No. 11
**Calculated total energy**: -59.57 eV per cell



# 5
DFT (GGA-PBE) results for an optimized crystal structure of Th5Sb2Rh.

Unit cell a=7.2767 b=7.2768 c=6.6254 alpha=121.97 beta=121.97 gamma=92.14
With the nearest neighbours (Å) after each atom.
Sites, in units of the cell vectors:
Th 0.7413 0.2132 0.9805  1 Rh 2.96, 1 Th 3.24, 2 Sb 3.26-3.27
Th 0.2156 0.2156 0.8800  1 Rh 2.80
Th 0.7185 0.7185 0.9843  6 Th 3.29-3.67, 1 Rh 3.30, 4 Sb 3.33-3.44
Th 0.2132 0.7413 0.9805  1 Rh 2.96, 1 Th 3.24, 2 Sb 3.26-3.27
Th 0.7284 0.7284 0.4931  8 Th 3.24-3.53, 2 Sb 3.49, 1 Rh 3.60
Sb 0.2331 0.7054 0.4629  1 Rh 3.09, 7 Th 3.26-3.44
Sb 0.7054 0.2331 0.4629  1 Rh 3.09, 7 Th 3.26-3.44
Rh 0.2215 0.2215 0.3097  3 Th 2.80-2.96, 2 Sb 3.09

## Properties
**SG**: No. 8
**Calculated total energy**: -56.43 eV per cell



# 6
DFT (GGA-PBE) results for an optimized crystal structure of ThSb2Rh3.

Unit cell a=4.2003 b=8.9447 c=10.3482 alpha=106.15 beta=90.00 gamma=103.58
With the nearest neighbours (Å) after each atom.
Sites, in units of the cell vectors:
Th 0.1634 0.3269 0.6946  5 Rh 3.18-3.52, 6 Sb 3.25-3.38
Th 0.8366 0.6731 0.3054  5 Rh 3.18-3.52, 6 Sb 3.25-3.38
Th 0.0000 0.0000 0.0000  6 Rh 3.06-3.29, 6 Sb 3.24-3.36
Sb 0.1937 0.3874 0.1259  6 Rh 2.60-2.73
Sb 0.8063 0.6126 0.8741  6 Rh 2.60-2.73
Sb 0.4573 0.9147 0.2240  5 Rh 2.59-2.77
Sb 0.5427 0.0853 0.7760  5 Rh 2.59-2.77
Sb 0.3621 0.7243 0.5573  7 Rh 2.56-2.72
Sb 0.6379 0.2757 0.4427  7 Rh 2.56-2.72
Rh 0.0427 0.0855 0.3311  4 Sb 2.63-2.72
Rh 0.9573 0.9145 0.6689  4 Sb 2.63-2.72
Rh 0.2220 0.4439 0.3891  4 Sb 2.56-2.71
Rh 0.7780 0.5561 0.6109  4 Sb 2.56-2.71
Rh 0.6072 0.2144 0.1800  4 Sb 2.62-2.77, 1 Rh 2.90
Rh 0.3928 0.7856 0.8200  4 Sb 2.62-2.77, 1 Rh 2.90
Rh 0.5000 0.0000 0.5000  4 Sb 2.63-2.74
Rh 0.3205 0.6410 0.0405  4 Sb 2.59-2.68
Rh 0.6795 0.3590 0.9595  4 Sb 2.59-2.68

## Properties
**SG**: No. 12
**Calculated total energy**: -126.16 eV per cell



# 7
DFT (GGA-PBE) results for an optimized crystal structure of ThSbRh3.

Unit cell a=5.1313 b=5.4533 c=7.6202 alpha=90.00 beta=90.00 gamma=90.00
With the nearest neighbours (Å) after each atom.
Sites, in units of the cell vectors:
Th 0.5000 0.0000 0.0000  6 Rh 2.73-2.92
Th 0.5000 0.5000 0.5000  6 Rh 2.73-2.92
Sb 0.0000 0.5000 0.0000  6 Rh 2.54-2.63
Sb 0.0000 0.0000 0.5000  6 Rh 2.54-2.63
Rh 0.5000 0.5000 0.0000  2 Sb 2.57, 2 Th 2.73
Rh 0.5000 0.0000 0.5000  2 Sb 2.57, 2 Th 2.73
Rh 0.0000 0.5815 0.3276  2 Sb 2.54-2.63, 1 Rh 2.77
Rh 0.0000 0.0815 0.1724  2 Sb 2.54-2.63, 1 Rh 2.77
Rh 0.0000 0.4185 0.6724  2 Sb 2.54-2.63, 1 Rh 2.77
Rh 0.0000 0.9185 0.8276  2 Sb 2.54-2.63, 1 Rh 2.77

## Properties
**SG**: No. 55
**Calculated total energy**: -71.23 eV per cell



# 8
DFT (GGA-PBE) results for an optimized crystal structure of ThSb2Rh6.

Unit cell a=5.5659 b=5.5659 c=6.8096 alpha=90.00 beta=90.00 gamma=120.00
With the nearest neighbours (Å) after each atom.
Sites, in units of the cell vectors:
Th 0.0000 0.0000 0.0000  12 Rh 3.08-3.10
Sb 0.3333 0.6667 0.5000  6 Rh 2.61
Sb 0.6667 0.3333 0.5000  6 Rh 2.61
Rh 0.5011 0.0000 0.1971  2 Sb 2.61, 5 Rh 2.68-2.78
Rh 0.4989 0.4989 0.1971  2 Sb 2.61, 5 Rh 2.68-2.78
Rh 0.0000 0.5011 0.1971  2 Sb 2.61, 5 Rh 2.68-2.78
Rh 0.5011 0.5011 0.8029  2 Sb 2.61, 5 Rh 2.68-2.78
Rh 0.0000 0.4989 0.8029  2 Sb 2.61, 5 Rh 2.68-2.78
Rh 0.4989 0.0000 0.8029  2 Sb 2.61, 5 Rh 2.68-2.78

## Properties
**SG**: No. 162
**Calculated total energy**: -62.82 eV per cell



# 9
DFT (GGA-PBE) results for an optimized crystal structure of ThSb2Rh4.

Unit cell a=4.3109 b=7.4598 c=16.7995 alpha=90.00 beta=90.00 gamma=90.00
With the nearest neighbours (Å) after each atom.
Sites, in units of the cell vectors:
Th 0.7500 0.9458 0.6485  10 Rh 2.97-3.26
Th 0.2500 0.0542 0.3515  10 Rh 2.97-3.26
Th 0.2500 0.4458 0.8515  10 Rh 2.97-3.26
Th 0.7500 0.5542 0.1485  10 Rh 2.97-3.26
Sb 0.2500 0.7449 0.5209  7 Rh 2.61-2.73
Sb 0.7500 0.2551 0.4791  7 Rh 2.61-2.73
Sb 0.7500 0.2449 0.9791  7 Rh 2.61-2.73
Sb 0.2500 0.7551 0.0209  7 Rh 2.61-2.73
Sb 0.2500 0.9040 0.8063  6 Rh 2.62-2.75
Sb 0.7500 0.0960 0.1937  6 Rh 2.62-2.75
Sb 0.7500 0.4040 0.6937  6 Rh 2.62-2.75
Sb 0.2500 0.5960 0.3063  6 Rh 2.62-2.75
Rh 0.2500 0.1985 0.7129  3 Sb 2.66-2.70, 3 Rh 2.91-2.97, 1 Th 2.97
Rh 0.7500 0.8015 0.2871  3 Sb 2.66-2.70, 3 Rh 2.91-2.97, 1 Th 2.97
Rh 0.7500 0.6985 0.7871  3 Sb 2.66-2.70, 3 Rh 2.91-2.97, 1 Th 2.97
Rh 0.2500 0.3015 0.2129  3 Sb 2.66-2.70, 3 Rh 2.91-2.97, 1 Th 2.97
Rh 0.2500 0.6284 0.6752  4 Sb 2.73-3.01, 4 Rh 2.91-3.00
Rh 0.7500 0.3716 0.3248  4 Sb 2.73-3.01, 4 Rh 2.91-3.00
Rh 0.7500 0.1284 0.8248  4 Sb 2.73-3.01, 4 Rh 2.91-3.00
Rh 0.2500 0.8716 0.1752  4 Sb 2.73-3.01, 4 Rh 2.91-3.00
Rh 0.2500 0.0952 0.5422  3 Sb 2.64-2.68, 2 Rh 2.95
Rh 0.7500 0.9048 0.4578  3 Sb 2.64-2.68, 2 Rh 2.95
Rh 0.7500 0.5952 0.9578  3 Sb 2.64-2.68, 2 Rh 2.95
Rh 0.2500 0.4048 0.0422  3 Sb 2.64-2.68, 2 Rh 2.95
Rh 0.2500 0.4365 0.4452  4 Sb 2.61-2.63
Rh 0.7500 0.5635 0.5548  4 Sb 2.61-2.63
Rh 0.7500 0.9365 0.0548  4 Sb 2.61-2.63
Rh 0.2500 0.0635 0.9452  4 Sb 2.61-2.63

## Properties
**SG**: No. 62
**Calculated total energy**: -198.31 eV per cell



# 10
DFT (GGA-PBE) results for an optimized crystal structure of ThSb3Rh5.

Unit cell a=3.9477 b=7.2398 c=13.4364 alpha=90.00 beta=90.00 gamma=105.82
With the nearest neighbours (Å) after each atom.
Sites, in units of the cell vectors:
Th 0.9074 0.8147 0.7500  4 Rh 3.00, 1 Sb 3.21
Th 0.0926 0.1853 0.2500  4 Rh 3.00, 1 Sb 3.21
Sb 0.3772 0.7544 0.9642  7 Rh 2.54-2.76
Sb 0.8619 0.7238 0.2500  6 Rh 2.57-2.78
Sb 0.3772 0.7544 0.5358  7 Rh 2.54-2.76
Sb 0.6228 0.2456 0.4642  7 Rh 2.54-2.76
Sb 0.1381 0.2762 0.7500  6 Rh 2.57-2.78
Sb 0.6228 0.2456 0.0358  7 Rh 2.54-2.76
Rh 0.8025 0.6050 0.4310  4 Sb 2.54-2.64
Rh 0.1975 0.3950 0.9310  4 Sb 2.54-2.64
Rh 0.0000 0.0000 0.5000  4 Sb 2.66, 6 Rh 2.86-2.90
Rh 0.0000 0.0000 0.0000  4 Sb 2.66, 6 Rh 2.86-2.90
Rh 0.4629 0.9258 0.1491  4 Sb 2.70-2.78, 3 Rh 2.71-2.86, 2 Th 3.00
Rh 0.5371 0.0742 0.8509  4 Sb 2.70-2.78, 3 Rh 2.71-2.86, 2 Th 3.00
Rh 0.5371 0.0742 0.6491  4 Sb 2.70-2.78, 3 Rh 2.71-2.86, 2 Th 3.00
Rh 0.8025 0.6050 0.0690  4 Sb 2.54-2.64
Rh 0.1975 0.3950 0.5690  4 Sb 2.54-2.64
Rh 0.4629 0.9258 0.3509  4 Sb 2.70-2.78, 3 Rh 2.71-2.86, 2 Th 3.00

## Properties
**SG**: No. 63
**Calculated total energy**: -122.50 eV per cell



What is the calculated total energy in the ninth record?
-198.31 eV per cell



Repeat the first record exactly.
DFT (GGA-PBE) results for an optimized crystal structure of ThSbRh5.

Unit cell a=4.1562 b=4.1562 c=7.3226 alpha=90.00 beta=90.00 gamma=90.00
With the nearest neighbours (Å) after each atom.
Sites, in units of the cell vectors:
Th 0.0000 0.0000 0.5000  12 Rh 2.92-2.94
Sb 0.5000 0.5000 0.0000  8 Rh 2.63
Rh 0.0000 0.5000 0.7800  2 Sb 2.63, 6 Rh 2.92-2.94, 2 Th 2.92
Rh 0.0000 0.5000 0.2200  2 Sb 2.63, 6 Rh 2.92-2.94, 2 Th 2.92
Rh 0.5000 0.0000 0.7800  2 Sb 2.63, 2 Th 2.92, 6 Rh 2.92-2.94
Rh 0.5000 0.0000 0.2200  2 Sb 2.63, 2 Th 2.92, 6 Rh 2.92-2.94
Rh 0.5000 0.5000 0.5000  8 Rh 2.92, 4 Th 2.94

## Properties
**SG**: No. 123
**Calculated total energy**: -51.76 eV per cell



The highest calculated total energy belongs to which entry?
ThSbRh5